Record 1
This record from Alexandria via LeMat-Bulk describes a relaxed structure of Pm5Ho2ErSc. The functional is GGA-PBE.

```
data_Pm5Ho2ErSc
_chemical_formula_sum 'Pm20 Ho8 Er4 Sc4'
_cell_length_a 5.337
_cell_length_b 21.792
_cell_length_c 10.180
_cell_angle_alpha 90.00
_cell_angle_beta 90.00
_cell_angle_gamma 90.00
_symmetry_space_group_name_H-M 'C m c m'
_symmetry_Int_Tables_number 63
_symmetry_space_group_name_Hall '-C 2c 2'
loop_
_atom_site_label
_atom_site_type_symbol
_atom_site_fract_x
_atom_site_fract_y
_atom_site_fract_z
Pm1 Pm 0.000 0.000 0.000
Pm2 Pm 0.000 0.127 0.250
Pm3 Pm 0.000 0.221 0.562
Pm4 Pm 0.000 0.499 0.750
Ho1 Ho 0.000 0.384 0.002
Er1 Er 0.000 0.101 0.750
Sc1 Sc 0.000 0.286 0.250
```



Record 2
This record from Alexandria via LeMat-Bulk describes a relaxed structure of Tm3Sn. The functional is GGA-PBE.

```
data_Tm3Sn
_chemical_formula_sum 'Tm6 Sn2'
_cell_length_a 6.7376
_cell_length_b 6.7376
_cell_length_c 5.4966
_cell_angle_alpha 90.00
_cell_angle_beta 90.00
_cell_angle_gamma 120.00
_symmetry_space_group_name_H-M 'P 63/m m c'
_symmetry_Int_Tables_number 194
_symmetry_space_group_name_Hall '-P 6c 2c'
loop_
_atom_site_label
_atom_site_type_symbol
_atom_site_fract_x
_atom_site_fract_y
_atom_site_fract_z
Tm1 Tm 0.1698 0.3396 0.2500
Sn1 Sn 0.3333 0.6667 0.7500
```



Record 3
This record from Alexandria via LeMat-Bulk describes a relaxed structure of Er8Bi2Ru. The functional is GGA-PBE.

```
data_Er8Bi2Ru
_chemical_formula_sum 'Er16 Bi4 Ru2'
_cell_length_a 19.126
_cell_length_b 4.619
_cell_length_c 7.184
_cell_angle_alpha 90.00
_cell_angle_beta 97.24
_cell_angle_gamma 90.00
_symmetry_space_group_name_H-M 'C 1 2/m 1'
_symmetry_Int_Tables_number 12
loop_
_symmetry_equiv_pos_as_xyz
'x,y,z'
'-x,-y,-z'
'-x,y,-z'
'x,-y,z'
'x+1/2,y+1/2,z'
'-x+1/2,-y+1/2,-z'
'-x+1/2,y+1/2,-z'
'x+1/2,-y+1/2,z'
loop_
_atom_site_label
_atom_site_type_symbol
_atom_site_fract_x
_atom_site_fract_y
_atom_site_fract_z
Er1 Er 0.000 0.000 0.226
Er2 Er 0.094 0.500 0.515
Er3 Er 0.136 0.500 0.043
Er4 Er 0.214 0.000 0.348
Bi1 Bi 0.183 0.000 0.784
Ru1 Ru 0.000 0.500 0.000
```



Number 1: size of the total moment 0.001 μB per formula unit, VASP energy -4.74 eV/atom, energy of formation 0.1271 eV/atom. Number 2: size of the total moment 0.432 μB per formula unit, VASP energy -4.73 eV/atom, energy of formation -0.3761 eV/atom. Number 3: size of the total moment 0.000 μB per formula unit, VASP energy -5.22 eV/atom, energy of formation -0.3490 eV/atom.